Below is a relaxed Tb2Cd4Ag crystal, with properties calculated at the PBE level.

## Properties
Space-group type ... No. 12
E ... -2.517 eV/atom
ΔH_f (0 K) ... -0.26 eV/atom
Density ... 8.65 Mg/m³

Structure (POSCAR):
```
Tb2Cd4Ag
1.0
4.361 -0.191 2.189
1.797 3.978 2.189
0.465 0.286 9.833
Tb Ag Cd
2 1 4
direct
0.858 0.858 0.714
0.142 0.142 0.286
0.000 0.000 0.000
0.651 0.651 0.524
0.349 0.349 0.476
0.599 0.599 0.101
0.401 0.401 0.899
```

Below is a relaxed Tb3Cd3Ag2 crystal, with properties calculated at the PBE level.

## Properties
Space-group type ... No. 189
E ... -3.083 eV/atom
ΔH_f (0 K) ... -0.29 eV/atom
Density ... 8.59 Mg/m³

Structure (POSCAR):
```
Tb3Cd3Ag2
1.0
3.871 0.000 0.000
0.000 7.708 0.000
0.000 -3.854 6.675
Tb Cd Ag
3 3 2
direct
0.500 0.409 0.409
0.500 0.591 0.000
0.500 0.000 0.591
0.000 0.770 0.770
0.000 0.230 0.000
0.000 0.000 0.230
0.000 0.333 0.667
0.000 0.667 0.333
```

Below is a relaxed Tb2CdAg6 crystal, with properties calculated at the PBE level.

## Properties
Space-group type ... No. 12
E ... -3.213 eV/atom
ΔH_f (0 K) ... -0.18 eV/atom
Density ... 9.47 Mg/m³

Structure (POSCAR):
```
Tb2CdAg6
1.0
5.142 0.057 0.803
2.261 4.447 1.733
-0.001 -0.091 8.283
Tb Cd Ag
2 1 6
direct
0.500 0.839 0.821
0.500 0.161 0.179
0.000 0.000 0.500
0.168 0.832 0.163
0.832 0.505 0.163
0.832 0.168 0.837
0.168 0.495 0.837
0.314 0.364 0.500
0.686 0.636 0.500
```